(1)
The following is a PBE calculation of an optimized crystal structure of SbOsRu2, from the Alexandria database.

**Uncorrected energy**: -32.56 eV per cell
**Energy relative to the elements, uncorrected**: 1.35 eV/f.u.
**Fermi-level density of states**: 3.649 states/eV/cell

a = 4.716 Å, b = 4.716 Å, c = 2.890 Å
α = 90.00°, β = 90.00°, γ = 105.37°
Fractional positions:
Sb1 0.000 0.000 0.000
Os1 0.500 0.500 0.000
Ru1 0.000 0.500 0.500
Ru2 0.500 0.000 0.500

---

(2)
The following is a PBE calculation of an optimized crystal structure of NiAsSeN2, from the Alexandria database.

**Energy relative to the lowest polymorph listed for this composition**: 0.087 eV per atom
**Uncorrected energy**: -23.93 eV per cell
**Energy relative to the elements, uncorrected**: 6.64 eV/f.u.
**Fermi-level density of states**: 5.898 states/eV/cell

a = 3.563 Å, b = 3.563 Å, c = 6.648 Å
α = 90.00°, β = 90.00°, γ = 90.00°
Fractional positions:
Ni1 0.000 0.000 0.000
As1 0.500 0.500 0.500
Se1 0.500 0.500 0.000
N1 0.000 0.500 0.500
N2 0.500 0.000 0.500

---

(3)
The following is a PBE calculation of an optimized crystal structure of Nd2HoTm8, from the Alexandria database.

**Formation energy**: 188 kJ/mol of formula units
**Energy relative to the lowest polymorph listed for this composition**: 0.015 eV per atom
**Uncorrected energy**: -47.93 eV per cell
**Fermi-level density of states**: 16.285 states/eV/cell

a = 8.822 Å, b = 8.822 Å, c = 6.613 Å
α = 99.54°, β = 99.54°, γ = 43.61°
Fractional positions:
Nd1 0.245 0.245 0.312
Nd2 0.755 0.755 0.688
Ho1 0.000 0.000 0.000
Tm1 0.175 0.654 0.600
Tm2 0.199 0.199 0.802
Tm3 0.346 0.825 0.400
Tm4 0.411 0.411 0.094
Tm5 0.589 0.589 0.906
Tm6 0.654 0.175 0.600
Tm7 0.801 0.801 0.198
Tm8 0.825 0.346 0.400